No. 1
The following is a SCAN calculation of Y2SbO2 at its PBEsol-relaxed geometry, from Alexandria via LeMat-Bulk.

Cell and atoms, written as extended XYZ:
```
5
Lattice="-1.661 -1.940 2.824 1.038 -3.276 -1.639 5.945 2.702 2.787" Properties=species:S:1:pos:R:3 pbc="T T T"
Y 1.554 -2.576 1.711
Y 3.768 0.063 2.260
O 3.336 -1.591 0.870
O 1.986 -0.923 3.102
Sb 0.000 0.000 0.000
```

## Properties
E = -24.0814 eV per atom
V = 19.05 A^3/atom
Crystal system = tetragonal
Formation energy without anion corrections = -3.000 eV per atom
Total magnetic moment = 0.0 μB/cell
Symmetry = No. 139

No. 2
The following is a SCAN calculation of Y3Sb5O12 at its PBEsol-relaxed geometry, from Alexandria via LeMat-Bulk.

Cell and atoms, written as extended XYZ:
```
40
Lattice="9.268 0.000 0.000 -3.089 8.738 0.000 -3.089 -4.369 7.567" Properties=species:S:1:pos:R:3 pbc="T T T"
Sb 4.454 -3.149 5.455
Sb -1.725 1.220 2.112
Sb 1.725 2.439 0.000
Sb 1.603 2.266 3.926
Sb 1.725 -1.220 2.112
Sb 4.454 6.299 0.000
Sb -4.454 3.149 5.455
Sb -1.487 -2.102 3.642
Sb -1.487 4.205 0.000
Sb 4.460 0.000 0.000
Y -1.545 1.092 5.675
Y 4.634 3.277 1.892
Y -1.545 4.369 3.784
Y 1.545 -1.092 5.675
Y 1.545 5.461 1.892
Y 4.634 0.000 3.784
O -0.393 2.092 3.624
O -2.438 3.062 2.213
O 5.785 4.553 0.000
O 2.104 0.327 3.624
O 5.454 0.883 1.529
O 1.176 4.340 0.000
O 0.651 4.755 3.808
O 2.365 6.972 0.000
O -0.986 -1.394 5.472
O -2.438 0.386 3.759
O 2.365 -3.486 6.038
O -2.479 3.091 5.354
O 2.104 2.975 2.095
O 3.740 5.290 1.545
O -0.986 5.436 1.529
O 4.266 2.199 3.808
O 5.785 -2.277 3.943
O 1.176 -2.170 3.759
O 3.700 2.556 0.000
O -4.075 1.067 6.038
O 0.651 0.921 6.022
O -4.075 4.695 3.943
O 3.740 -1.306 5.354
O 3.700 -1.278 2.213
```

## Properties
E = -19.6626 eV per atom
V = 15.32 A^3/atom
Crystal system = cubic
Formation energy without anion corrections = -2.432 eV per atom
Total magnetic moment = 0.0 μB/cell
Symmetry = No. 217

No. 3
The following is a SCAN calculation of ZnSbO2 at its PBEsol-relaxed geometry, from Alexandria via LeMat-Bulk.

Cell and atoms, written as extended XYZ:
```
4
Lattice="-2.226 0.237 -2.219 -1.063 -2.590 -1.450 -5.502 -1.412 3.129" Properties=species:S:1:pos:R:3 pbc="T T T"
O -4.050 -1.205 1.695
O -4.741 -2.560 -2.234
Zn -4.396 -1.883 -0.270
Sb 0.000 0.000 0.000
```

## Properties
E = -16.9039 eV per atom
V = 13.39 A^3/atom
Crystal system = trigonal
Formation energy without anion corrections = -1.094 eV per atom
Total magnetic moment = 0.0 μB/cell
Symmetry = No. 166

No. 4
The following is a SCAN calculation of ZnSbO2 at its PBEsol-relaxed geometry, from Alexandria via LeMat-Bulk.

Cell and atoms, written as extended XYZ:
```
4
Lattice="4.110 0.000 0.000 2.055 3.560 0.000 2.055 1.187 3.356" Properties=species:S:1:pos:R:3 pbc="T T T"
O 2.055 1.187 0.839
O 6.165 3.560 2.517
Zn 0.000 0.000 0.000
Sb 4.110 2.373 1.678
```

## Properties
E = -16.1156 eV per atom
V = 12.28 A^3/atom
Crystal system = cubic
Formation energy without anion corrections = -0.306 eV per atom
Total magnetic moment = 0.0 μB/cell
Symmetry = No. 225

No. 5
The following is a SCAN calculation of ZnSb2O4 at its PBEsol-relaxed geometry, from Alexandria via LeMat-Bulk.

Cell and atoms, written as extended XYZ:
```
28
Lattice="6.000 0.000 0.000 0.000 8.425 0.000 0.000 0.000 8.425" Properties=species:S:1:pos:R:3 pbc="T T T"
Sb 3.000 6.953 1.376
Sb 0.000 2.836 5.685
Sb 3.000 1.472 7.049
Sb 3.000 5.685 5.589
Sb 0.000 5.589 2.740
Sb 3.000 2.740 2.836
Sb 0.000 1.376 1.472
Sb 0.000 7.049 6.953
O 1.500 2.713 1.500
O 0.000 2.986 7.651
O 1.500 5.712 6.925
O 1.500 1.500 5.712
O 4.500 1.500 5.712
O 3.000 0.774 2.986
O 4.500 2.713 1.500
O 3.000 3.439 7.198
O 0.000 5.439 0.774
O 0.000 1.226 3.439
O 4.500 6.925 2.713
O 1.500 6.925 2.713
O 0.000 7.198 4.986
O 3.000 7.651 5.439
O 3.000 4.986 1.226
O 4.500 5.712 6.925
Zn 1.500 4.212 0.000
Zn 4.500 4.212 0.000
Zn 1.500 0.000 4.212
Zn 4.500 0.000 4.212
```

## Properties
E = -17.5950 eV per atom
V = 15.21 A^3/atom
Crystal system = tetragonal
Formation energy without anion corrections = -1.458 eV per atom
Total magnetic moment = 0.0 μB/cell
Symmetry = No. 135

No. 6
The following is a SCAN calculation of Zn7Sb2O12 at its PBEsol-relaxed geometry, from Alexandria via LeMat-Bulk.

Cell and atoms, written as extended XYZ:
```
42
Lattice="6.104 -0.015 -0.010 -0.015 6.104 -0.010 2.772 2.771 12.822" Properties=species:S:1:pos:R:3 pbc="T T T"
O 6.102 2.877 2.203
O 5.976 5.939 10.615
O 4.598 1.372 4.188
O 1.485 1.512 0.124
O 1.210 4.601 4.293
O 4.553 4.590 4.204
O 2.874 6.264 2.098
O 5.962 5.990 6.266
O 1.313 1.382 4.167
O 2.898 2.870 6.535
O 2.758 5.983 10.598
O 2.768 2.699 10.578
O 7.547 7.478 8.634
O 4.307 4.270 8.597
O 2.884 2.921 2.186
O 4.358 1.539 0.065
O 7.376 7.347 12.677
O 7.650 4.259 8.509
O 6.092 6.161 2.224
O 4.263 7.487 8.614
O 5.936 3.116 6.326
O 2.925 5.744 6.476
O 4.502 7.321 12.737
O 5.987 2.596 10.704
Zn 4.478 1.582 2.059
Zn 4.430 4.430 6.401
Zn 4.382 7.278 10.743
Zn 5.893 2.996 4.332
Zn 2.995 1.236 5.420
Zn 2.622 4.380 11.831
Zn 2.850 4.625 3.195
Zn 1.378 4.438 6.406
Zn 5.866 7.624 7.382
Zn 6.239 4.479 0.971
Zn 2.968 5.864 8.470
Zn 3.052 -0.008 -0.005
Zn 6.011 4.235 9.606
Zn 3.044 3.044 -0.010
Sb 5.931 6.013 4.287
Sb 1.461 1.544 2.103
Sb 7.399 7.316 10.698
Sb 2.930 2.847 8.514
```

## Properties
E = -13.2081 eV per atom
V = 11.38 A^3/atom
Crystal system = monoclinic
Formation energy without anion corrections = -1.594 eV per atom
Total magnetic moment = 0.0 μB/cell
Symmetry = No. 15

No. 7
The following is a SCAN calculation of Zn7Sb2O12 at its PBEsol-relaxed geometry, from Alexandria via LeMat-Bulk.

Cell and atoms, written as extended XYZ:
```
42
Lattice="6.171 -0.015 0.007 -0.324 8.586 0.005 -2.886 -4.241 9.034" Properties=species:S:1:pos:R:3 pbc="T T T"
O -1.584 -0.050 7.621
O 2.956 6.406 0.167
O 5.845 6.302 0.073
O 1.168 4.423 1.457
O 0.034 2.140 5.927
O -1.491 4.181 4.584
O -1.730 4.476 7.574
O 0.045 2.225 3.121
O 1.779 -0.099 1.506
O 1.558 0.155 4.495
O 2.915 2.105 5.926
O 0.005 -2.077 8.879
O 2.964 6.376 2.927
O 1.181 4.428 7.541
O -0.003 -2.046 6.119
O 4.451 0.148 4.463
O 4.545 4.379 1.425
O 4.690 -0.147 1.472
O 1.792 -0.093 7.589
O 1.403 4.174 4.551
O 3.275 -2.089 6.162
O 2.927 2.190 3.119
O -2.885 -1.973 8.973
O -0.314 6.418 2.884
Zn 3.083 5.229 4.568
Zn -0.122 -0.900 4.478
Zn -0.163 4.245 6.069
Zn -0.119 4.358 3.170
Zn 1.349 6.519 1.639
Zn 3.085 -0.008 0.004
Zn 0.172 0.958 1.619
Zn 3.124 0.084 2.977
Zn 1.612 -2.190 7.408
Zn 0.167 1.092 7.555
Zn -1.605 2.172 4.519
Zn 2.794 3.237 1.492
Zn 2.788 3.371 7.427
Zn 3.079 -0.029 5.876
Sb -0.162 4.293 0.003
Sb -1.417 -2.142 7.488
Sb 1.480 2.165 4.523
Sb 4.378 6.471 1.558
```

## Properties
E = -13.2030 eV per atom
V = 11.40 A^3/atom
Crystal system = triclinic
Formation energy without anion corrections = -1.589 eV per atom
Total magnetic moment = 0.0 μB/cell
Symmetry = No. 2

No. 8
The following is a SCAN calculation of ZrSbO3 at its PBEsol-relaxed geometry, from Alexandria via LeMat-Bulk.

Cell and atoms, written as extended XYZ:
```
5
Lattice="-1.239 3.804 1.007 -2.726 -1.592 2.656 2.838 0.132 2.992" Properties=species:S:1:pos:R:3 pbc="T T T"
Sb -0.564 1.172 3.328
Zr 0.000 0.000 0.000
O 0.056 -0.730 2.824
O -1.983 1.106 1.832
O 0.799 1.968 1.999
```

## Properties
E = -18.3232 eV per atom
V = 14.04 A^3/atom
Crystal system = cubic
Formation energy without anion corrections = -0.993 eV per atom
Total magnetic moment = 2.0 μB/cell
Symmetry = No. 221

No. 9
The following is a SCAN calculation of Sc2O3 at its PBEsol-relaxed geometry, from Alexandria via LeMat-Bulk.

Cell and atoms, written as extended XYZ:
```
15
Lattice="3.184 0.000 0.000 -1.592 6.586 -0.001 0.000 -1.465 7.839" Properties=species:S:1:pos:R:3 pbc="T T T"
Sc 0.000 -0.785 6.395
Sc 0.000 2.796 6.767
Sc 1.592 1.072 3.808
Sc 0.000 4.048 4.030
Sc 1.592 5.906 1.443
Sc 1.592 2.324 1.071
O 1.592 0.000 0.000
O 0.000 5.663 2.681
O 0.000 1.257 2.190
O 1.592 -0.543 5.157
O 1.592 3.863 5.648
O 0.000 0.874 7.566
O 1.592 3.282 2.965
O 0.000 1.838 4.873
O 1.592 4.246 0.272
```

## Properties
E = -13.2659 eV per atom
V = 10.96 A^3/atom
Crystal system = monoclinic
Formation energy without anion corrections = -3.832 eV per atom
Total magnetic moment = 0.0 μB/cell
Symmetry = No. 12

No. 10
The following is a SCAN calculation of Sc2O3 at its PBEsol-relaxed geometry, from Alexandria via LeMat-Bulk.

Cell and atoms, written as extended XYZ:
```
40
Lattice="-4.304 1.560 2.843 -4.878 0.599 -7.713 -2.762 -9.464 1.012" Properties=species:S:1:pos:R:3 pbc="T T T"
Sc -4.620 -0.007 1.254
Sc -6.735 -5.282 -5.328
Sc -5.687 -3.991 1.753
Sc -8.614 -1.726 -3.787
Sc -3.990 -7.841 0.170
Sc -4.594 -4.641 -1.343
Sc -2.529 -2.906 1.012
Sc -6.794 -1.866 -0.909
Sc -5.221 0.234 -5.991
Sc -5.765 -7.550 -2.724
Sc -7.011 -6.955 0.216
Sc -10.031 -6.510 -4.645
Sc -5.592 -2.613 -3.833
Sc -6.313 0.884 -2.895
Sc -7.947 -4.618 -2.422
Sc -3.408 -0.671 -1.652
O -5.496 -1.732 -5.761
O -5.234 -6.475 -0.873
O -5.776 -8.464 1.136
O -6.776 -1.059 -2.961
O -6.243 -4.050 -7.024
O -2.094 -1.836 -0.612
O -3.606 -1.539 2.070
O -3.504 0.431 -5.074
O -6.123 -3.549 -2.012
O -6.758 -5.963 -3.405
O -3.812 -2.030 -3.079
O -9.736 -5.081 -3.288
O -4.390 -9.150 -1.497
O -8.454 -6.164 -5.886
O -8.877 -2.692 -1.877
O -8.248 -5.674 -0.737
O -7.164 -8.364 -1.354
O -4.204 -3.963 0.450
O -6.384 1.300 -4.805
O -7.085 -3.094 0.719
O -5.072 -0.955 -0.495
O -7.492 -3.378 -4.510
O -7.045 -7.863 3.658
O -6.514 -5.802 1.927
```

## Properties
E = -13.2332 eV per atom
V = 12.21 A^3/atom
Crystal system = orthorhombic
Formation energy without anion corrections = -3.800 eV per atom
Total magnetic moment = 0.0 μB/cell
Symmetry = No. 33

No. 11
The following is a SCAN calculation of Sc2O3 at its PBEsol-relaxed geometry, from Alexandria via LeMat-Bulk.

Cell and atoms, written as extended XYZ:
```
5
Lattice="3.361 0.000 0.000 -1.681 2.911 0.000 0.000 0.000 5.550" Properties=species:S:1:pos:R:3 pbc="T T T"
Sc 0.000 1.941 1.381
Sc 1.681 0.970 4.169
O 1.681 0.970 1.958
O 0.000 0.000 0.000
O 0.000 1.941 3.592
```

## Properties
E = -13.2053 eV per atom
V = 10.86 A^3/atom
Crystal system = trigonal
Formation energy without anion corrections = -3.772 eV per atom
Total magnetic moment = 0.0 μB/cell
Symmetry = No. 164

No. 12
The following is a SCAN calculation of Sc2O3 at its PBEsol-relaxed geometry, from Alexandria via LeMat-Bulk.

Cell and atoms, written as extended XYZ:
```
40
Lattice="-7.905 2.898 1.107 0.426 -4.351 -7.280 2.079 -5.095 6.468" Properties=species:S:1:pos:R:3 pbc="T T T"
Sc -4.066 -4.165 2.012
Sc -0.619 -2.831 1.416
Sc 0.000 0.000 0.000
Sc -1.334 -2.382 -1.717
Sc 0.568 -4.590 -4.067
Sc -1.802 -5.582 0.168
Sc -3.739 -0.726 -3.087
Sc 1.253 -4.723 -0.406
Sc -3.532 -3.929 5.204
Sc -5.318 0.557 2.418
Sc -5.968 -1.958 4.362
Sc -1.868 -2.618 -4.909
Sc -2.913 -1.098 3.788
Sc -4.781 -3.717 -1.121
Sc -0.082 -7.105 -2.123
Sc -3.598 -0.965 0.127
O 0.130 -6.487 -0.118
O -7.502 1.709 -0.590
O -1.199 -3.796 -3.236
O -1.566 -1.404 0.187
O -5.530 -0.060 0.413
O 1.168 -3.941 1.553
O -1.080 -2.009 3.270
O -5.784 -0.325 -2.745
O -3.307 -0.075 1.984
O 0.384 -6.222 3.040
O -0.691 -3.901 -0.450
O -4.708 -2.647 0.745
O -1.486 -4.588 5.086
O -2.093 -6.472 -1.689
O -3.834 -5.144 0.108
O -3.433 -2.213 -1.619
O 1.248 -3.853 4.977
O -4.201 -2.751 3.531
O -1.967 -4.334 1.914
O -6.648 -2.695 -4.682
O -4.319 -4.538 -2.975
O -3.914 -1.960 -4.791
O -6.568 -2.606 -1.258
O 2.102 -8.257 0.885
```

## Properties
E = -13.3305 eV per atom
V = 11.79 A^3/atom
Crystal system = cubic
Formation energy without anion corrections = -3.897 eV per atom
Total magnetic moment = 0.0 μB/cell
Symmetry = No. 206

No. 13
The following is a SCAN calculation of ScO at its PBEsol-relaxed geometry, from Alexandria via LeMat-Bulk.

Cell and atoms, written as extended XYZ:
```
2
Lattice="-0.642 0.347 -3.038 1.032 -2.105 -2.066 -2.017 -1.932 -1.402" Properties=species:S:1:pos:R:3 pbc="T T T"
Sc 0.000 0.000 0.000
O -0.813 -1.845 -3.253
```

## Properties
E = -13.3787 eV per atom
V = 10.79 A^3/atom
Crystal system = cubic
Formation energy without anion corrections = -3.145 eV per atom
Total magnetic moment = 0.0 μB/cell
Symmetry = No. 225

No. 14
The following is a SCAN calculation of Sc20O19 at its PBEsol-relaxed geometry, from Alexandria via LeMat-Bulk.

Cell and atoms, written as extended XYZ:
```
39
Lattice="8.276 0.000 0.000 -3.550 7.476 0.000 -2.363 -3.738 6.996" Properties=species:S:1:pos:R:3 pbc="T T T"
Sc 4.151 2.608 0.694
Sc 2.354 1.148 2.778
Sc -0.574 0.363 2.109
Sc -1.788 1.130 6.302
Sc 3.521 0.370 5.619
Sc -1.158 3.368 1.377
Sc -2.374 4.137 5.619
Sc -1.767 6.349 0.679
Sc -3.577 4.857 2.778
Sc 1.777 4.109 2.116
Sc 4.131 -2.611 6.317
Sc 3.546 5.610 0.000
Sc 0.586 -0.371 4.880
Sc 4.737 -0.399 1.377
Sc -2.957 1.869 3.498
Sc 2.937 3.375 4.887
Sc 0.009 2.590 4.218
Sc 2.957 -1.869 3.498
Sc 1.180 1.866 0.000
Sc 5.940 -1.119 4.218
O 2.962 0.724 0.718
O 0.566 2.239 2.117
O 0.000 0.000 0.000
O -0.016 5.242 1.419
O 5.343 4.490 0.718
O -1.200 0.758 4.181
O -2.980 -0.752 6.278
O -0.599 3.014 6.278
O 2.946 6.005 2.117
O -1.775 3.738 3.498
O 1.797 1.499 4.879
O 4.138 0.000 3.498
O -3.563 2.253 5.578
O -0.583 -2.267 4.879
O 5.926 1.486 1.418
O 1.165 4.496 4.216
O 1.198 -0.757 2.780
O 2.379 -1.504 5.577
O 3.563 2.980 2.814
```

## Properties
E = -13.4111 eV per atom
V = 11.10 A^3/atom
Crystal system = tetragonal
Formation energy without anion corrections = -3.074 eV per atom
Total magnetic moment = 0.0 μB/cell
Symmetry = No. 87